Entry 1:
DFT (PBE) results for a geometry-optimized LiReTe2N structure.

Properties
Its space-group type is P4/mmm, No. 123. The formation energy (no corrections) comes out at 0.10 eV/atom. The value obtained for the density of states at the Fermi level is 2.8 states/eV per cell.

abc: 5.5008 5.5008 3.7397
angles: 90.00 90.00 90.00
Last column: nearest neighbours and their distance in Å.
Fractional coordinates of all 5 atoms:
Li (0.0000, 0.0000, 0.0000)  8 Te 3.33
Re (0.5000, 0.5000, 0.5000)  2 N 1.87
Te (0.0000, 0.5000, 0.5000)  2 Re 2.75
Te (0.5000, 0.0000, 0.5000)  2 Re 2.75
N (0.5000, 0.5000, 0.0000)  2 Re 1.87


Entry 2:
DFT (PBE) results for a geometry-optimized CeNiP2Rh2 structure.

Properties
Its space-group type is P4/mmm, No. 123. The value obtained for the density of states at the Fermi level is 6.8 states/eV per cell. The energy of formation comes out at -446 meV per atom.

abc: 4.3078 4.3078 5.3937
angles: 90.00 90.00 90.00
Last column: nearest neighbours and their distance in Å.
Fractional coordinates of all 6 atoms:
Ce (0.0000, 0.0000, 0.0000)  2 Ni 2.70
Ni (0.0000, 0.0000, 0.5000)  4 P 2.15
P (0.0000, 0.5000, 0.5000)  2 Ni 2.15
P (0.5000, 0.0000, 0.5000)  2 Ni 2.15
Rh (0.5000, 0.5000, 0.2515)  4 P 2.54, 2 Rh 2.68-2.71
Rh (0.5000, 0.5000, 0.7485)  4 P 2.54, 2 Rh 2.68-2.71


Entry 3:
DFT (PBE) results for a geometry-optimized Nb2Bi2Au structure.

Properties
Its space-group type is I4/mmm, No. 139. The value obtained for the density of states at the Fermi level is 9.4 states/eV per cell. The energy of formation comes out at 417 meV per atom.

abc: 3.7420 3.7420 17.7884
angles: 90.00 90.00 90.00
Last column: nearest neighbours and their distance in Å.
Fractional coordinates of all 10 atoms:
Nb (0.0000, 0.5000, 0.2500)  4 Nb 2.65
Nb (0.0000, 0.5000, 0.7500)  4 Nb 2.65
Nb (0.5000, 0.0000, 0.2500)  4 Nb 2.65
Nb (0.5000, 0.0000, 0.7500)  4 Nb 2.65
Bi (0.0000, 0.0000, 0.1073)  4 Nb 3.15, 4 Au 3.26
Bi (0.0000, 0.0000, 0.8927)  4 Nb 3.15, 4 Au 3.26
Bi (0.5000, 0.5000, 0.3927)  4 Nb 3.15, 4 Au 3.26
Bi (0.5000, 0.5000, 0.6073)  4 Nb 3.15, 4 Au 3.26
Au (0.0000, 0.0000, 0.5000)  8 Bi 3.26
Au (0.5000, 0.5000, 0.0000)  8 Bi 3.26


Entry 4:
DFT (PBE) results for a geometry-optimized SmZr2TiN4 structure.

Properties
Its space-group type is Cmcm, No. 63. The formation energy (no corrections) comes out at -1.45 eV/atom. The value obtained for the density of states at the Fermi level is 6.6 states/eV per cell.

abc: 5.9506 5.9506 11.4764
angles: 90.00 90.00 148.22
Last column: nearest neighbours and their distance in Å.
Fractional coordinates of all 16 atoms:
Sm (0.1075, 0.8925, 0.7500)  6 N 2.46-2.67
Sm (0.8925, 0.1075, 0.2500)  6 N 2.46-2.67
Zr (0.3698, 0.6302, 0.5363)  5 N 2.17-2.42
Zr (0.3698, 0.6302, 0.9637)  5 N 2.17-2.42
Zr (0.6302, 0.3698, 0.0363)  5 N 2.17-2.42
Zr (0.6302, 0.3698, 0.4637)  5 N 2.17-2.42
Ti (0.1563, 0.8437, 0.2500)  4 N 1.93-2.01
Ti (0.8437, 0.1563, 0.7500)  4 N 1.93-2.01
N (0.0000, 0.0000, 0.0000)  4 Zr 2.25
N (0.0000, 0.0000, 0.5000)  4 Zr 2.25
N (0.2627, 0.7373, 0.1193)  1 Ti 1.93
N (0.2627, 0.7373, 0.3807)  1 Ti 1.93
N (0.4470, 0.5530, 0.7500)  2 Ti 2.01
N (0.5530, 0.4470, 0.2500)  2 Ti 2.01
N (0.7373, 0.2627, 0.6193)  1 Ti 1.93
N (0.7373, 0.2627, 0.8807)  1 Ti 1.93


Entry 5:
DFT (PBE) results for a geometry-optimized TmPuCu structure.

Properties
Its space-group type is Cmcm, No. 63. The value obtained for the density of states at the Fermi level is 30.2 states/eV per cell. The energy of formation comes out at -28 meV per atom.

abc: 3.4763 15.7972 4.8789
angles: 90.00 90.00 90.00
Last column: nearest neighbours and their distance in Å.
Fractional coordinates of all 12 atoms:
Tm (0.0000, 0.0755, 0.2500)  6 Cu 2.96-3.00
Tm (0.0000, 0.9245, 0.7500)  6 Cu 2.96-3.00
Tm (0.5000, 0.4245, 0.7500)  6 Cu 2.96-3.00
Tm (0.5000, 0.5755, 0.2500)  6 Cu 2.96-3.00
Pu (0.0000, 0.2305, 0.7500)  2 Cu 2.99, 4 Pu 3.06
Pu (0.0000, 0.7695, 0.2500)  2 Cu 2.99, 4 Pu 3.06
Pu (0.5000, 0.2695, 0.2500)  2 Cu 2.99, 4 Pu 3.06
Pu (0.5000, 0.7305, 0.7500)  2 Cu 2.99, 4 Pu 3.06
Cu (0.0000, 0.4234, 0.2500)  6 Tm 2.96-3.00, 2 Pu 2.99
Cu (0.0000, 0.5766, 0.7500)  6 Tm 2.96-3.00, 2 Pu 2.99
Cu (0.5000, 0.0766, 0.7500)  6 Tm 2.96-3.00, 2 Pu 2.99
Cu (0.5000, 0.9234, 0.2500)  6 Tm 2.96-3.00, 2 Pu 2.99


Entry 6:
DFT (PBE) results for a geometry-optimized Tm6Mg2Tl structure.

Properties
Its space-group type is P4_2/mnm, No. 136. The value obtained for the density of states at the Fermi level is 28.1 states/eV per cell. The energy of formation comes out at -71 meV per atom.

abc: 10.1146 10.1146 4.9403
angles: 90.00 90.00 90.00
Last column: nearest neighbours and their distance in Å.
Fractional coordinates of all 18 atoms:
Tm (0.0063, 0.3311, 0.0000)  3 Mg 3.27-3.40, 1 Tl 3.35, 8 Tm 3.42-3.57
Tm (0.1421, 0.8579, 0.5000)  2 Tl 3.20, 4 Mg 3.32-3.51, 6 Tm 3.47-3.57
Tm (0.1689, 0.5063, 0.5000)  3 Mg 3.27-3.40, 1 Tl 3.35, 8 Tm 3.42-3.57
Tm (0.3311, 0.0063, 0.0000)  3 Mg 3.27-3.40, 1 Tl 3.35, 8 Tm 3.42-3.57
Tm (0.3579, 0.3579, 0.0000)  2 Tl 3.20, 4 Mg 3.32-3.51, 6 Tm 3.47-3.57
Tm (0.4937, 0.8311, 0.5000)  3 Mg 3.27-3.40, 1 Tl 3.35, 8 Tm 3.42-3.57
Tm (0.5063, 0.1689, 0.5000)  3 Mg 3.27-3.40, 1 Tl 3.35, 8 Tm 3.42-3.57
Tm (0.6421, 0.6421, 0.0000)  2 Tl 3.20, 4 Mg 3.32-3.51, 6 Tm 3.47-3.57
Tm (0.6689, 0.9937, 0.0000)  3 Mg 3.27-3.40, 1 Tl 3.35, 8 Tm 3.42-3.57
Tm (0.8311, 0.4937, 0.5000)  3 Mg 3.27-3.40, 1 Tl 3.35, 8 Tm 3.42-3.57
Tm (0.8579, 0.1421, 0.5000)  2 Tl 3.20, 4 Mg 3.32-3.51, 6 Tm 3.47-3.57
Tm (0.9937, 0.6689, 0.0000)  3 Mg 3.27-3.40, 1 Tl 3.35, 8 Tm 3.42-3.57
Mg (0.1838, 0.1838, 0.5000)  10 Tm 3.27-3.51, 2 Tl 3.61
Mg (0.3162, 0.6838, 0.0000)  10 Tm 3.27-3.51, 2 Tl 3.61
Mg (0.6838, 0.3162, 0.0000)  10 Tm 3.27-3.51, 2 Tl 3.61
Mg (0.8162, 0.8162, 0.5000)  10 Tm 3.27-3.51, 2 Tl 3.61
Tl (0.0000, 0.0000, 0.0000)  8 Tm 3.20-3.35
Tl (0.5000, 0.5000, 0.5000)  8 Tm 3.20-3.35


Entry 7:
DFT (PBE) results for a geometry-optimized SmGa5PdPt2 structure.

Properties
Its space-group type is P4/mmm, No. 123. The value obtained for the density of states at the Fermi level is 3.6 states/eV per cell. The energy of formation comes out at -488 meV per atom.

abc: 4.3073 4.3073 10.1528
angles: 90.00 90.00 90.00
Last column: nearest neighbours and their distance in Å.
Fractional coordinates of all 9 atoms:
Sm (0.0000, 0.0000, 0.0000)  4 Ga 3.05
Ga (0.0000, 0.5000, 0.3546)  2 Pt 2.49, 2 Pd 2.61
Ga (0.0000, 0.5000, 0.6454)  2 Pt 2.49, 2 Pd 2.61
Ga (0.5000, 0.0000, 0.3546)  2 Pt 2.49, 2 Pd 2.61
Ga (0.5000, 0.0000, 0.6454)  2 Pt 2.49, 2 Pd 2.61
Ga (0.5000, 0.5000, 0.0000)  2 Pt 2.34
Pd (0.0000, 0.0000, 0.5000)  8 Ga 2.61
Pt (0.5000, 0.5000, 0.2307)  5 Ga 2.34-2.49
Pt (0.5000, 0.5000, 0.7693)  5 Ga 2.34-2.49


Entry 8:
DFT (PBE) results for a geometry-optimized HgSCl6 structure.

Properties
Its space-group type is R-3, No. 148. The formation energy (no corrections) comes out at -0.16 eV/atom.

abc: 6.8070 6.8070 6.8070
angles: 55.81 55.81 55.81
Last column: nearest neighbours and their distance in Å.
Fractional coordinates of all 8 atoms:
Hg (0.0000, 0.0000, 0.0000)  6 Cl 2.72
S (0.5000, 0.5000, 0.5000)  6 Cl 2.35
Cl (0.1171, 0.7226, 0.4270)  1 S 2.35
Cl (0.2774, 0.5730, 0.8829)  1 S 2.35
Cl (0.4270, 0.1171, 0.7226)  1 S 2.35
Cl (0.5730, 0.8829, 0.2774)  1 S 2.35
Cl (0.7226, 0.4270, 0.1171)  1 S 2.35
Cl (0.8829, 0.2774, 0.5730)  1 S 2.35


Entry 9:
DFT (PBE) results for a geometry-optimized PmPPbAu structure.

Properties
Its space-group type is F-43m, No. 216. The value obtained for the density of states at the Fermi level is 8.3 states/eV per cell. The energy of formation comes out at -472 meV per atom.

abc: 7.2181 7.2181 7.2181
angles: 90.00 90.00 90.00
Last column: nearest neighbours and their distance in Å.
Fractional coordinates of all 16 atoms:
Pm (0.0000, 0.0000, 0.0000)  4 P 3.13, 4 Au 3.13
Pm (0.0000, 0.5000, 0.5000)  4 P 3.13, 4 Au 3.13
Pm (0.5000, 0.0000, 0.5000)  4 P 3.13, 4 Au 3.13
Pm (0.5000, 0.5000, 0.0000)  4 P 3.13, 4 Au 3.13
P (0.2500, 0.2500, 0.2500)  4 Pb 3.13, 4 Pm 3.13
P (0.2500, 0.7500, 0.7500)  4 Pb 3.13, 4 Pm 3.13
P (0.7500, 0.2500, 0.7500)  4 Pb 3.13, 4 Pm 3.13
P (0.7500, 0.7500, 0.2500)  4 Pb 3.13, 4 Pm 3.13
Pb (0.0000, 0.0000, 0.5000)  4 Au 3.13, 4 P 3.13
Pb (0.0000, 0.5000, 0.0000)  4 Au 3.13, 4 P 3.13
Pb (0.5000, 0.0000, 0.0000)  4 Au 3.13, 4 P 3.13
Pb (0.5000, 0.5000, 0.5000)  4 Au 3.13, 4 P 3.13
Au (0.2500, 0.2500, 0.7500)  4 Pb 3.13, 4 Pm 3.13
Au (0.2500, 0.7500, 0.2500)  4 Pb 3.13, 4 Pm 3.13
Au (0.7500, 0.2500, 0.2500)  4 Pb 3.13, 4 Pm 3.13
Au (0.7500, 0.7500, 0.7500)  4 Pb 3.13, 4 Pm 3.13


Entry 10:
DFT (PBE) results for a geometry-optimized TiIn2W2 structure.

Properties
Its space-group type is I4/mmm, No. 139. The value obtained for the density of states at the Fermi level is 4.4 states/eV per cell. The energy of formation comes out at 863 meV per atom.

abc: 3.8461 3.8461 13.9266
angles: 90.00 90.00 90.00
Last column: nearest neighbours and their distance in Å.
Fractional coordinates of all 10 atoms:
Ti (0.0000, 0.0000, 0.0000)  8 W 2.97
Ti (0.5000, 0.5000, 0.5000)  8 W 2.97
In (0.0000, 0.5000, 0.2500)  4 In 2.72, 4 W 2.99
In (0.0000, 0.5000, 0.7500)  4 In 2.72, 4 W 2.99
In (0.5000, 0.0000, 0.2500)  4 In 2.72, 4 W 2.99
In (0.5000, 0.0000, 0.7500)  4 In 2.72, 4 W 2.99
W (0.0000, 0.0000, 0.4147)  1 W 2.37
W (0.0000, 0.0000, 0.5853)  1 W 2.37
W (0.5000, 0.5000, 0.0853)  1 W 2.37
W (0.5000, 0.5000, 0.9147)  1 W 2.37


Entry 11:
DFT (PBE) results for a geometry-optimized Ac2TmHg10 structure.

Properties
Its space-group type is Pbam, No. 55. The value obtained for the density of states at the Fermi level is 15.1 states/eV per cell. The energy of formation comes out at -88 meV per atom.

abc: 10.9635 13.3255 5.8779
angles: 90.00 90.00 90.00
Last column: nearest neighbours and their distance in Å.
Fractional coordinates of all 26 atoms:
Ac (0.1313, 0.1701, 0.0000)  10 Hg 3.39-3.60
Ac (0.3687, 0.6701, 0.0000)  10 Hg 3.39-3.60
Ac (0.6313, 0.3299, 0.0000)  10 Hg 3.39-3.60
Ac (0.8687, 0.8299, 0.0000)  10 Hg 3.39-3.60
Tm (0.0000, 0.5000, 0.5000)  8 Hg 3.02-3.19
Tm (0.5000, 0.0000, 0.5000)  8 Hg 3.02-3.19
Hg (0.0311, 0.8848, 0.5000)  6 Hg 2.98-3.19
Hg (0.0888, 0.6854, 0.2434)  4 Hg 2.86-3.18, 1 Tm 3.05
Hg (0.0888, 0.6854, 0.7566)  4 Hg 2.86-3.18, 1 Tm 3.05
Hg (0.1891, 0.3185, 0.5000)  6 Hg 3.06-3.40, 1 Tm 3.19
Hg (0.2285, 0.0382, 0.5000)  5 Hg 2.98-3.18, 1 Tm 3.02
Hg (0.2715, 0.5382, 0.5000)  5 Hg 2.98-3.18, 1 Tm 3.02
Hg (0.3109, 0.8185, 0.5000)  6 Hg 3.06-3.40, 1 Tm 3.19
Hg (0.4112, 0.1854, 0.2434)  4 Hg 2.86-3.18, 1 Tm 3.05
Hg (0.4112, 0.1854, 0.7566)  4 Hg 2.86-3.18, 1 Tm 3.05
Hg (0.4689, 0.3848, 0.5000)  6 Hg 2.98-3.19
Hg (0.5311, 0.6152, 0.5000)  6 Hg 2.98-3.19
Hg (0.5888, 0.8146, 0.2434)  4 Hg 2.86-3.18, 1 Tm 3.05
Hg (0.5888, 0.8146, 0.7566)  4 Hg 2.86-3.18, 1 Tm 3.05
Hg (0.6891, 0.1815, 0.5000)  6 Hg 3.06-3.40, 1 Tm 3.19
Hg (0.7285, 0.4618, 0.5000)  5 Hg 2.98-3.18, 1 Tm 3.02
Hg (0.7715, 0.9618, 0.5000)  5 Hg 2.98-3.18, 1 Tm 3.02
Hg (0.8109, 0.6815, 0.5000)  6 Hg 3.06-3.40, 1 Tm 3.19
Hg (0.9112, 0.3146, 0.2434)  4 Hg 2.86-3.18, 1 Tm 3.05
Hg (0.9112, 0.3146, 0.7566)  4 Hg 2.86-3.18, 1 Tm 3.05
Hg (0.9689, 0.1152, 0.5000)  6 Hg 2.98-3.19


Entry 12:
DFT (PBE) results for a geometry-optimized Tb6Nd8Y structure.

Properties
Its space-group type is R-3, No. 148. The value obtained for the density of states at the Fermi level is 22.8 states/eV per cell. The energy of formation comes out at 122 meV per atom.

abc: 8.7856 8.7856 8.7856
angles: 63.09 63.09 63.09
Last column: nearest neighbours and their distance in Å.
Fractional coordinates of all 15 atoms:
Tb (0.0390, 0.7459, 0.5971)  3 Nd 3.39-3.48, 1 Y 3.52, 2 Tb 3.58
Tb (0.2541, 0.4029, 0.9610)  3 Nd 3.39-3.48, 1 Y 3.52, 2 Tb 3.58
Tb (0.4029, 0.9610, 0.2541)  3 Nd 3.39-3.48, 1 Y 3.52, 2 Tb 3.58
Tb (0.5971, 0.0390, 0.7459)  3 Nd 3.39-3.48, 1 Y 3.52, 2 Tb 3.58
Tb (0.7459, 0.5971, 0.0390)  3 Nd 3.39-3.48, 1 Y 3.52, 2 Tb 3.58
Tb (0.9610, 0.2541, 0.4029)  3 Nd 3.39-3.48, 1 Y 3.52, 2 Tb 3.58
Nd (0.0779, 0.0779, 0.0779)  4 Nd 3.27-3.47, 3 Tb 3.39
Nd (0.2172, 0.2500, 0.6125)  3 Tb 3.45-3.86, 5 Nd 3.47-3.49, 1 Y 3.57
Nd (0.2500, 0.6125, 0.2172)  3 Tb 3.45-3.86, 5 Nd 3.47-3.49, 1 Y 3.57
Nd (0.3875, 0.7828, 0.7500)  3 Tb 3.45-3.86, 5 Nd 3.47-3.49, 1 Y 3.57
Nd (0.6125, 0.2172, 0.2500)  3 Tb 3.45-3.86, 5 Nd 3.47-3.49, 1 Y 3.57
Nd (0.7500, 0.3875, 0.7828)  3 Tb 3.45-3.86, 5 Nd 3.47-3.49, 1 Y 3.57
Nd (0.7828, 0.7500, 0.3875)  3 Tb 3.45-3.86, 5 Nd 3.47-3.49, 1 Y 3.57
Nd (0.9221, 0.9221, 0.9221)  4 Nd 3.27-3.47, 3 Tb 3.39
Y (0.5000, 0.5000, 0.5000)  6 Tb 3.52, 6 Nd 3.57


In order of appearance, E = -5.696 -6.653 -5.818 -9.323 -7.661 -3.669 -4.613 -2.095 -4.759 -6.993 -1.296 -4.704 eV/atom.
In order of appearance, magnetic moment = 0.5 0.3 0.0 0.0 23.3 0.0 0.0 0.0 0.0 0.0 0.0 0.0 μB per cell.